Material: FeSbAs
Method: DFT, PBE-GGA
State: relaxed

The structure in POSCAR format:
```
FeSbAs
1.0
-2.9271 -4.8979 2.0859
2.7113 -1.2670 0.8297
0.7045 8.0505 9.9918
Sb Fe As
4 4 4
Direct
0.4661 0.0000 0.9936
0.4992 0.5000 0.7512
0.4661 0.5000 0.4936
0.4992 0.0000 0.2512
0.7947 0.5000 0.9524
0.7282 0.0000 0.6470
0.7282 0.5000 0.1470
0.7947 0.0000 0.4524
0.9899 0.5000 0.5954
0.9308 0.5000 0.3409
0.9899 0.0000 0.0954
0.9308 0.0000 0.8409
```

Its energy above the most stable polymorph in this dataset is 138 meV per atom. The space group is Cm (8). The value obtained for the formation energy from raw total energies is 7 meV per atom.

Material: Y2USe6
Method: DFT, PBE-GGA
State: relaxed

The structure in POSCAR format:
```
Y2USe6
1.0
6.6602 0.0000 0.0000
0.0000 6.6602 0.0000
0.0000 0.0000 12.4577
Se Y U
12 4 2
Direct
0.7091 0.7091 0.0000
0.2091 0.7909 0.5000
0.6936 0.6936 0.6588
0.1936 0.8064 0.1588
0.7909 0.2091 0.5000
0.8064 0.1936 0.1588
0.8064 0.1936 0.8412
0.3064 0.3064 0.6588
0.2909 0.2909 0.0000
0.6936 0.6936 0.3412
0.1936 0.8064 0.8412
0.3064 0.3064 0.3412
0.5000 0.5000 0.8354
0.0000 0.0000 0.6646
0.0000 0.0000 0.3354
0.5000 0.5000 0.1646
0.0000 0.0000 0.0000
0.5000 0.5000 0.5000
```

The space group is P4_2/mnm (136). The value obtained for the formation energy from raw total energies is -1352 meV per atom.

Material: ZnRh4Br
Method: DFT, PBE-GGA
State: relaxed

The structure in POSCAR format:
```
ZnRh4Br
1.0
-2.3798 0.4690 4.6219
-4.8711 -1.7703 0.6189
-0.8866 -4.2343 2.9206
Zn Rh Br
1 4 1
Direct
0.7500 0.7500 0.7500
0.3747 0.3747 0.3747
0.8758 0.3747 0.3747
0.3747 0.3747 0.8758
0.3747 0.8758 0.3747
0.0000 0.0000 0.0000
```

The space group is F-43m (216). The value obtained for the formation energy from raw total energies is 607 meV per atom.

Material: Ac3Tb3ErSe8
Method: DFT, PBE-GGA
State: relaxed

The structure in POSCAR format:
```
Ac3Tb3ErSe8
1.0
8.3800 0.0000 0.0000
-4.1900 7.2579 -0.0257
0.0000 -4.8126 7.1734
Se Tb Er Ac
8 3 1 3
Direct
0.2422 0.9830 0.7252
0.2591 0.5182 0.2768
0.7409 0.9830 0.7252
0.7409 0.4818 0.7232
0.7578 0.5157 0.2750
0.2591 0.0170 0.2748
0.2422 0.4843 0.7250
0.7578 0.0170 0.2748
0.0000 0.5000 0.5000
0.5000 0.0000 0.5000
0.5000 0.5000 0.5000
0.0000 0.0000 0.5000
0.0000 0.0000 0.0000
0.5000 0.5000 0.0000
0.0000 0.5000 0.0000
```

The space group is R-3m (166). The value obtained for the formation energy from raw total energies is -1859 meV per atom.